DFT (PBE with a Hubbard U) results for Sr2TlVF8 after structural relaxation.

abc: 4.8555 5.4280 7.9212
angles: 93.55 92.30 92.68
With the nearest neighbours (Å) after each atom.
Space group P-1 (No. 2)
Asymmetric unit:
1 Sr 0.0333 0.0228 0.2568  6 F 2.40-2.61
2 Tl 0.5000 0.5000 0.0000  4 F 2.63-2.84
3 V 0.5000 0.5000 0.5000  6 F 1.95-2.06
4 F 0.0289 0.2390 0.0015  2 Sr 2.40-2.42, 1 F 2.59, 1 Tl 2.63
5 F 0.1754 0.2692 0.5261  1 V 1.99
6 F 0.3227 0.6746 0.3209  1 V 1.95
7 F 0.4089 0.7615 0.6856  1 V 2.06

Calculated values
V ... 207.9 Å³/cell
Density ... 4.65 g/cm3
Final energy ... -5.52 eV per atom
Size of the total moment ... 2.00 Bohr magnetons per cell


DFT (PBE with a Hubbard U) results for Sr2TlVF after structural relaxation.

abc: 6.4748 6.4748 3.8949
angles: 90.00 90.00 90.00
With the nearest neighbours (Å) after each atom.
Space group P4/mmm (No. 123)
Asymmetric unit:
1 Sr 0.0000 0.5000 0.0000  2 V 3.24
2 Tl 0.0000 0.0000 0.5000  8 Sr 3.78, 2 Tl 3.89
3 V 0.5000 0.5000 0.0000  2 F 1.95
4 F 0.5000 0.5000 0.5000  2 V 1.95

Calculated values
V ... 163.3 Å³/cell
Density ... 4.57 g/cm3
Final energy ... -3.09 eV per atom
Size of the total moment ... 0.24 Bohr magnetons per cell


DFT (PBE with a Hubbard U) results for SrTlVF6 after structural relaxation.

abc: 5.8938 5.8938 4.5964
angles: 90.00 90.00 120.00
With the nearest neighbours (Å) after each atom.
Space group P3 (No. 143)
Asymmetric unit:
1 Sr 0.0000 0.0000 0.0000  6 F 2.56-2.58
2 Tl 0.6667 0.3333 0.3898  9 F 2.69-2.99
3 V 0.3333 0.6667 0.6425  6 F 1.98-2.00
4 F 0.0232 0.4353 0.8832  1 V 1.98
5 F 0.1227 0.7893 0.4194  1 V 2.00

Calculated values
V ... 138.3 Å³/cell
Density ... 5.49 g/cm3
Final energy ... -5.49 eV per atom
Size of the total moment ... 2.00 Bohr magnetons per cell


> Look up the final energy of the third one.

-5.49 eV per atom


> Look up the V of the first one.

207.9 Å³/cell


Repeat the third record exactly.
DFT (PBE with a Hubbard U) results for SrTlVF6 after structural relaxation.

abc: 5.8938 5.8938 4.5964
angles: 90.00 90.00 120.00
With the nearest neighbours (Å) after each atom.
Space group P3 (No. 143)
Asymmetric unit:
1 Sr 0.0000 0.0000 0.0000  6 F 2.56-2.58
2 Tl 0.6667 0.3333 0.3898  9 F 2.69-2.99
3 V 0.3333 0.6667 0.6425  6 F 1.98-2.00
4 F 0.0232 0.4353 0.8832  1 V 1.98
5 F 0.1227 0.7893 0.4194  1 V 2.00

Calculated values
V ... 138.3 Å³/cell
Density ... 5.49 g/cm3
Final energy ... -5.49 eV per atom
Size of the total moment ... 2.00 Bohr magnetons per cell


> The lowest size of the total moment belongs to which entry?

Sr2TlVF